The following is a DFT calculation (PBE) of crystalline SrMg4Si3 at its relaxed geometry.

```
SrMg4Si3
1.0
-1.5338 -3.7386 2.0424
2.5802 0.9120 3.6072
-6.4879 4.5663 3.4862
Si Mg Sr
3 4 1
Direct
0.0000 0.0000 0.0000
0.5000 0.5000 0.3607
0.5000 0.5000 0.6393
0.0000 0.5000 0.1827
0.5000 0.0000 0.8173
0.0000 0.5000 0.8173
0.5000 0.0000 0.1827
0.0000 0.0000 0.5000
```


The following is a DFT calculation (PBE) of crystalline Sr2MgSi at its relaxed geometry.

```
Sr2MgSi
1.0
4.3078 0.0000 0.0000
0.0000 5.3115 0.0000
0.0000 0.0000 5.3115
Si Mg Sr
1 1 2
Direct
0.5000 0.5000 0.5000
0.5000 0.0000 0.0000
0.0000 0.0000 0.5000
0.0000 0.5000 0.0000
```


It is found that the formation energy without anion corrections values, taken in the order of the records, are -2.16, -0.48 eV per formula unit.
It is found that the volume values, taken in the order of the records, are 22.21, 30.38 A^3/atom.